# Ga3GeRu PBE relaxed
# Energy above the lowest structure with this stoichiometry (eV per atom): 0.000
# E_form (eV/atom): 0.241
# Final energy (eV/atom): -4.3538
# Total moment (μB/atom): 0.200
data_Ga3GeRu
_chemical_formula_sum 'Ga3 Ge1 Ru1'
_cell_length_a 4.8068
_cell_length_b 4.8068
_cell_length_c 4.8068
_cell_angle_alpha 90.00
_cell_angle_beta 90.00
_cell_angle_gamma 90.00
_space_group_name_H-M_alt 'P m -3 m'
_space_group_IT_number 221
_space_group_name_Hall '-P 4 2 3'
loop_
_atom_site_label
_atom_site_type_symbol
_atom_site_fract_x
_atom_site_fract_y
_atom_site_fract_z
Ga1 Ga 0.0000 0.0000 0.5000
Ge1 Ge 0.5000 0.5000 0.5000
Ru1 Ru 0.0000 0.0000 0.0000